The following is a PBE calculation of a relaxed Tb3Y2Hg3 crystal, from Alexandria.

abc: 3.7522 5.3318 11.5288
angles: 103.37 99.37 90.00
Fractional positions:
Tb: 0.6208 0.6208 0.2415
Tb: 0.3792 0.3792 0.7585
Tb: 0.5000 0.0000 0.0000
Y: 0.7318 0.2318 0.4635
Y: 0.2682 0.7682 0.5365
Hg: 0.1185 0.1185 0.2370
Hg: 0.0000 0.5000 0.0000
Hg: 0.8815 0.8815 0.7630

Values from the calculation:
Mass density   9.43 g cm⁻³
Total magnetization   0.00 μB/cell
ΔH_f (0 K)   -360 meV per atom
Density of states at the Fermi level   9.72 states/eV per cell